PBE-GGA LaSmGd2, relaxed; energy relative to the elements = 0.13 eV/atom; calculated total energy = -9.32 eV/atom
1.0
-0.447 -3.187 1.476
-0.949 -2.761 -2.003
11.657 -4.644 -2.251
Sm Gd La
1 2 1
direct
0.500 0.500 0.500 Sm
0.090 0.090 0.730 Gd
0.910 0.910 0.270 Gd
0.000 0.000 0.000 La

***

PBE-GGA Pr3Dy2Y8, relaxed; energy relative to the elements = 0.13 eV/atom; calculated total energy = -5.65 eV/atom
1.0
5.493 -0.137 -1.376
-0.563 6.334 -2.880
0.117 1.582 11.916
Pr Y Dy
3 8 2
direct
0.500 0.000 0.000 Pr
0.000 0.724 0.000 Pr
0.000 0.276 0.000 Pr
0.424 0.425 0.849 Y
0.846 0.584 0.693 Y
0.310 0.810 0.621 Y
0.690 0.190 0.379 Y
0.154 0.416 0.307 Y
0.576 0.575 0.151 Y
0.846 0.108 0.693 Y
0.154 0.892 0.307 Y
0.723 0.722 0.444 Dy
0.277 0.278 0.556 Dy

***

PBE-GGA Tm2Sn3Hg3, relaxed; energy relative to the elements = -0.38 eV/atom; calculated total energy = -3.11 eV/atom
1.0
4.703 0.000 0.000
0.000 4.601 0.000
0.000 0.000 9.024
Tm Hg Sn
2 3 3
direct
0.000 0.000 0.252 Tm
0.000 0.000 0.748 Tm
0.500 0.000 0.000 Hg
0.500 0.500 0.244 Hg
0.500 0.500 0.756 Hg
0.000 0.500 0.000 Sn
0.500 0.000 0.500 Sn
0.000 0.500 0.500 Sn